Material: Tl2VCoF6
Method: DFT, PBE+U
State: relaxed

```
Tl2VCoF6
1.0
5.9645 0.0000 0.0000
0.0000 5.9657 0.0000
0.0000 0.0000 8.5332
Tl V Co F
4 2 2 12
direct
0.0000 0.0000 0.2494
0.0000 0.0000 0.7506
0.5000 0.5000 0.2508
0.5000 0.5000 0.7492
0.0000 0.5000 0.5000
0.5000 0.0000 0.0000
0.0000 0.5000 0.0000
0.5000 0.0000 0.5000
0.0000 0.5000 0.2445
0.0000 0.5000 0.7555
0.2462 0.2515 0.0000
0.2462 0.7485 0.0000
0.2572 0.2436 0.5000
0.2572 0.7564 0.5000
0.5000 0.0000 0.2489
0.5000 0.0000 0.7511
0.7428 0.2436 0.5000
0.7428 0.7564 0.5000
0.7538 0.2515 0.0000
0.7538 0.7485 0.0000
```

Summary:
Density = 6.9 Mg/m³
Space group = Pmmm, No. 47
VASP energy = -5.014 eV/atom



Material: Tl2Zn3CoF12
Method: DFT, PBE+U
State: relaxed

```
Tl2Zn3CoF12
1.0
3.6260 2.0935 6.1079
-3.6260 2.0935 6.1079
0.0000 -4.1869 6.1079
Tl Zn Co F
2 3 1 12
direct
0.1137 0.1137 0.1137
0.8863 0.8863 0.8863
0.0000 0.5000 0.5000
0.5000 0.0000 0.5000
0.5000 0.5000 0.0000
0.5000 0.5000 0.5000
0.1700 0.1700 0.5726
0.1700 0.5726 0.1700
0.2021 0.5652 0.5652
0.4274 0.8300 0.8300
0.4348 0.4348 0.7979
0.4348 0.7979 0.4348
0.5652 0.2021 0.5652
0.5652 0.5652 0.2021
0.5726 0.1700 0.1700
0.7979 0.4348 0.4348
0.8300 0.4274 0.8300
0.8300 0.8300 0.4274
```

Summary:
Density = 5.3 Mg/m³
Space group = R-3m, No. 166
VASP energy = -4.013 eV/atom